# PBE with a Hubbard U CaMnO2, relaxed
data_CaMnO2
_chemical_formula_sum 'Ca1 Mn1 O2'
_cell_length_a 6.430
_cell_length_b 6.430
_cell_length_c 6.430
_cell_angle_alpha 31.61
_cell_angle_beta 31.61
_cell_angle_gamma 31.61
_space_group_name_H-M_alt 'P 1'
_space_group_IT_number 1
_space_group_name_Hall 'P 1'
loop_
_atom_site_label
_atom_site_fract_x
_atom_site_fract_y
_atom_site_fract_z
Ca1 0.500 0.500 0.500
Mn1 0.000 0.000 0.000
O1 0.899 0.899 0.899
O2 0.101 0.101 0.101
# Density of states at the Fermi level   0.72 states/eV per cell
# Calculated total energy   -27.35 eV/cell
# Space-group type   No. 166